Entry 1:
! Re3SbP, relaxed, DFT GGA-PBE; values from VASP
! Raw formation energy ... 2921.5 meV per atom
! E ... -0.4743 Ry/atom
! Volume ... 22.8 Å³/atom
&SYSTEM
  ibrav = 0, nat = 5, ntyp = 3
/
ATOMIC_SPECIES
Re 186.21 Re.upf
Sb 121.76 Sb.upf
P 30.97 P.upf
CELL_PARAMETERS angstrom
4.8519 0.0000 0.0000
0.0000 4.8519 0.0000
0.0000 0.0000 4.8519
ATOMIC_POSITIONS angstrom
Re 0.0000 0.0000 2.4260
Re 0.0000 2.4260 0.0000
Re 2.4260 0.0000 0.0000
Sb 0.0000 0.0000 0.0000
P 2.4260 2.4260 2.4260

=====

Entry 2:
! PuMn2Ni, relaxed, DFT GGA-PBE; values from VASP
! Energy relative to the elements ... -0.019 eV per atom
! E ... -0.7080 Ry/atom
! Volume ... 14.7 Å³/atom
&SYSTEM
  ibrav = 0, nat = 4, ntyp = 3
/
ATOMIC_SPECIES
Pu 244.00 Pu.upf
Mn 54.94 Mn.upf
Ni 58.69 Ni.upf
CELL_PARAMETERS angstrom
3.9762 0.0000 0.0000
0.0000 3.9762 0.0000
0.0000 0.0000 3.7181
ATOMIC_POSITIONS angstrom
Pu 0.0000 0.0000 0.0000
Mn 0.0000 1.9881 1.8590
Mn 1.9881 0.0000 1.8590
Ni 1.9881 1.9881 0.0000

=====

Entry 3:
! TbErInNi, relaxed, DFT GGA-PBE; values from VASP
! Energy relative to the elements ... -0.318 eV per atom
! E ... -0.3489 Ry/atom
! Volume ... 23.2 Å³/atom
&SYSTEM
  ibrav = 0, nat = 4, ntyp = 4
/
ATOMIC_SPECIES
Tb 158.93 Tb.upf
Er 167.26 Er.upf
In 114.82 In.upf
Ni 58.69 Ni.upf
CELL_PARAMETERS angstrom
0.0000 3.5923 3.5923
3.5923 0.0000 3.5923
3.5923 3.5923 0.0000
ATOMIC_POSITIONS angstrom
Tb 0.0000 0.0000 0.0000
Er 3.5923 3.5923 3.5923
In 5.3884 5.3884 5.3884
Ni 1.7961 1.7961 1.7961

=====

Entry 4:
! PrCd10Pd2, relaxed, DFT GGA-PBE; values from VASP
! Energy relative to the elements ... -0.236 eV per atom
! E ... -0.1549 Ry/atom
! Volume ... 21.8 Å³/atom
&SYSTEM
  ibrav = 0, nat = 13, ntyp = 3
/
ATOMIC_SPECIES
Pr 140.91 Pr.upf
Cd 112.41 Cd.upf
Pd 106.42 Pd.upf
CELL_PARAMETERS angstrom
0.0000 7.0456 7.1033
2.8312 0.0000 7.1033
2.8312 7.0456 0.0000
ATOMIC_POSITIONS angstrom
Pr 0.0000 0.0000 0.0000
Cd 1.4156 0.0000 3.5516
Cd 2.8312 2.5475 4.7728
Cd 2.8312 5.4889 5.6481
Cd 2.8312 2.5475 9.4338
Cd 2.8312 5.4889 8.5585
Cd 1.4156 7.0456 3.5516
Cd 2.8312 8.6023 5.6481
Cd 2.8312 11.5437 4.7728
Cd 2.8312 8.6023 8.5585
Cd 2.8312 11.5437 9.4338
Pd 1.4156 3.5228 0.0000
Pd 1.4156 3.5228 7.1033

=====

Entry 5:
! Co2SbPt2, relaxed, DFT GGA-PBE; values from VASP
! Raw formation energy ... 44.4 meV per atom
! E ... -0.4438 Ry/atom
! Volume ... 15.4 Å³/atom
&SYSTEM
  ibrav = 0, nat = 10, ntyp = 3
/
ATOMIC_SPECIES
Co 58.93 Co.upf
Sb 121.76 Sb.upf
Pt 195.08 Pt.upf
CELL_PARAMETERS angstrom
6.4003 0.0000 0.0000
0.0000 6.4003 0.0000
0.0000 0.0000 3.7548
ATOMIC_POSITIONS angstrom
Co 0.8268 2.3734 0.0000
Co 2.3734 5.5735 0.0000
Co 4.0269 0.8268 0.0000
Co 5.5735 4.0269 0.0000
Sb 0.0000 0.0000 0.0000
Sb 3.2001 3.2001 0.0000
Pt 0.9979 4.1980 1.8774
Pt 2.2023 0.9979 1.8774
Pt 4.1980 5.4024 1.8774
Pt 5.4024 2.2023 1.8774

=====

Entry 6:
! Na2Zn15Cd2, relaxed, DFT GGA-PBE; values from VASP
! Energy relative to the elements ... -0.023 eV per atom
! E ... -0.0929 Ry/atom
! Volume ... 17.3 Å³/atom
&SYSTEM
  ibrav = 0, nat = 19, ntyp = 3
/
ATOMIC_SPECIES
Na 22.99 Na.upf
Zn 65.41 Zn.upf
Cd 112.41 Cd.upf
CELL_PARAMETERS angstrom
4.6306 2.6735 4.4265
-4.6306 2.6735 4.4265
0.0000 -5.3470 4.4265
ATOMIC_POSITIONS angstrom
Na 0.0000 0.0000 2.0253
Na 0.0000 0.0000 11.2541
Zn -2.3153 -1.3367 4.4265
Zn 0.0000 -2.7521 4.2334
Zn -2.3834 1.3760 4.2334
Zn -1.4138 -2.4488 6.6397
Zn -2.8276 0.0000 6.6397
Zn -2.3834 -1.3760 9.0460
Zn -2.3153 1.3367 8.8529
Zn 1.4138 -2.4487 6.6397
Zn 0.0000 2.6735 4.4265
Zn -1.4138 2.4487 6.6397
Zn 2.3834 1.3760 4.2334
Zn 2.8276 0.0000 6.6397
Zn 1.4138 2.4487 6.6397
Zn 2.3834 -1.3760 9.0460
Zn 0.0000 2.7521 9.0460
Cd 0.0000 0.0000 5.1961
Cd 0.0000 0.0000 8.0833

=====

Entry 7:
! PuAl11Tc, relaxed, DFT GGA-PBE; values from VASP
! Energy relative to the elements ... -0.219 eV per atom
! E ... -0.3885 Ry/atom
! Volume ... 17.0 Å³/atom
&SYSTEM
  ibrav = 0, nat = 13, ntyp = 3
/
ATOMIC_SPECIES
Pu 244.00 Pu.upf
Al 26.98 Al.upf
Tc 98.00 Tc.upf
CELL_PARAMETERS angstrom
2.6325 -6.3628 0.0000
2.6325 6.3628 0.0000
-2.5332 0.0000 6.5825
ATOMIC_POSITIONS angstrom
Pu 0.0000 0.0000 0.0000
Al -1.2666 0.0000 3.2913
Al 1.3163 3.1814 0.0000
Al 0.1097 2.1971 2.3602
Al 0.0965 1.3586 5.1368
Al 0.1097 -2.1971 2.3602
Al 2.6353 1.3586 1.4457
Al 1.3163 -3.1814 0.0000
Al 0.0965 -1.3586 5.1368
Al 2.6221 2.1971 4.2223
Al 2.6353 -1.3586 1.4457
Al 2.6221 -2.1971 4.2223
Tc 1.3659 0.0000 3.2913

=====

Entry 8:
! RePH, relaxed, DFT GGA-PBE; values from VASP
! E ... -0.5293 Ry/atom
! Volume ... 11.2 Å³/atom
&SYSTEM
  ibrav = 0, nat = 3, ntyp = 3
/
ATOMIC_SPECIES
Re 186.21 Re.upf
P 30.97 P.upf
H 1.01 H.upf
CELL_PARAMETERS angstrom
1.5491 0.8944 4.0279
-1.5491 0.8944 4.0279
0.0000 -1.7887 4.0279
ATOMIC_POSITIONS angstrom
Re 0.0000 0.0000 0.0000
P 0.0000 0.0000 2.4548
H 0.0000 0.0000 8.6811